Record 1
Rb2LaZnSe after structural relaxation, computed with GGA-PBE.

Calculated values
Spin magnetization: 0.131 μB per atom
Energy relative to the elements, uncorrected: 0.12 eV per atom
Space group: P4/mmm (123)
V: 43.144 A^3/atom

Cell: 6.0427 5.9079 6.0427 Å, 90.00 90.00 90.00°
Each line ends with the local moment (μB).
Fractional positions:
Zn 0.0000 0.0000 0.0000  0.05
Rb 0.0000 0.0000 0.5000  0.01
Rb 0.5000 0.0000 0.0000  0.01
La 0.0000 0.5000 0.0000  0.18
Se 0.5000 0.5000 0.5000  0.00

Record 2
RbLaZnSe3 after structural relaxation, computed with GGA-PBE.

Calculated values
Spin magnetization: 0.000 μB per atom
Energy relative to the elements, uncorrected: -1.42 eV per atom
Space group: P2_1/m (11)
V: 33.657 A^3/atom

Cell: 4.3256 9.6016 10.1371 Å, 106.40 90.00 90.00°
Fractional positions:
La 0.7500 0.3318 0.8498
La 0.2500 0.6682 0.1502
Zn 0.7500 0.9190 0.3933
Zn 0.2500 0.0810 0.6067
Rb 0.2500 0.1990 0.2299
Rb 0.7500 0.8010 0.7701
Se 0.7500 0.8877 0.1464
Se 0.7500 0.1851 0.5286
Se 0.2500 0.8149 0.4714
Se 0.2500 0.1123 0.8536
Se 0.2500 0.5446 0.8448
Se 0.7500 0.4554 0.1552

Record 3
RbLaSi2 after structural relaxation, computed with GGA-PBE.

Calculated values
Spin magnetization: 0.000 μB per atom
Energy above the most stable polymorph in this dataset: 124 meV/atom
Energy relative to the elements, uncorrected: 0.40 eV per atom
Space group: I4_1/amd (141)
V: 37.367 A^3/atom

Cell: 5.3324 5.3324 11.1689 Å, 76.19 76.19 90.00°
Fractional positions:
Si 0.8746 0.6250 0.2500
Si 0.8754 0.1250 0.2500
Si 0.3750 0.1246 0.7500
Si 0.8750 0.1254 0.7500
La 0.0000 0.0000 0.0000
La 0.7500 0.2500 0.5000
Rb 0.5000 0.5000 0.0000
Rb 0.2500 0.7500 0.5000

Record 4
RbLaSi3 after structural relaxation, computed with GGA-PBE.

Calculated values
Spin magnetization: 0.000 μB per atom
Energy above the most stable polymorph in this dataset: 0 meV/atom
Energy relative to the elements, uncorrected: 0.81 eV per atom
Space group: Pm-3m (221)
V: 37.301 A^3/atom

Cell: 5.7134 5.7134 5.7134 Å, 90.00 90.00 90.00°
Fractional positions:
La 0.0000 0.0000 0.0000
Si 0.5000 0.0000 0.0000
Si 0.0000 0.5000 0.0000
Si 0.0000 0.0000 0.5000
Rb 0.5000 0.5000 0.5000

Record 5
RbLaSi2 after structural relaxation, computed with GGA-PBE.

Calculated values
Spin magnetization: 0.000 μB per atom
Energy above the most stable polymorph in this dataset: 0 meV/atom
Energy relative to the elements, uncorrected: 0.28 eV per atom
Space group: Fm-3m (225)
V: 27.983 A^3/atom

Cell: 5.4095 5.4095 5.4095 Å, 60.00 60.00 60.00°
Fractional positions:
Si 0.2500 0.2500 0.2500
Si 0.7500 0.7500 0.7500
Rb 0.0000 0.0000 0.0000
La 0.5000 0.5000 0.5000

Record 6
RbLaSi3 after structural relaxation, computed with GGA-PBE.

Calculated values
Spin magnetization: 0.000 μB per atom
Energy above the most stable polymorph in this dataset: 610 meV/atom
Energy relative to the elements, uncorrected: 1.42 eV per atom
Space group: Pm-3m (221)
V: 29.649 A^3/atom

Cell: 5.2925 5.2925 5.2925 Å, 90.00 90.00 90.00°
Fractional positions:
Si 0.0000 0.5000 0.0000
Si 0.5000 0.0000 0.0000
Si 0.0000 0.0000 0.5000
Rb 0.0000 0.0000 0.0000
La 0.5000 0.5000 0.5000

- What is the formula in the sixth record?
  RbLaSi3

What did the second record say?
RbLaZnSe3 after structural relaxation, computed with GGA-PBE.

Calculated values
Spin magnetization: 0.000 μB per atom
Energy relative to the elements, uncorrected: -1.42 eV per atom
Space group: P2_1/m (11)
V: 33.657 A^3/atom

Cell: 4.3256 9.6016 10.1371 Å, 106.40 90.00 90.00°
Fractional positions:
La 0.7500 0.3318 0.8498
La 0.2500 0.6682 0.1502
Zn 0.7500 0.9190 0.3933
Zn 0.2500 0.0810 0.6067
Rb 0.2500 0.1990 0.2299
Rb 0.7500 0.8010 0.7701
Se 0.7500 0.8877 0.1464
Se 0.7500 0.1851 0.5286
Se 0.2500 0.8149 0.4714
Se 0.2500 0.1123 0.8536
Se 0.2500 0.5446 0.8448
Se 0.7500 0.4554 0.1552

What did the first record say?
Rb2LaZnSe after structural relaxation, computed with GGA-PBE.

Calculated values
Spin magnetization: 0.131 μB per atom
Energy relative to the elements, uncorrected: 0.12 eV per atom
Space group: P4/mmm (123)
V: 43.144 A^3/atom

Cell: 6.0427 5.9079 6.0427 Å, 90.00 90.00 90.00°
Each line ends with the local moment (μB).
Fractional positions:
Zn 0.0000 0.0000 0.0000  0.05
Rb 0.0000 0.0000 0.5000  0.01
Rb 0.5000 0.0000 0.0000  0.01
La 0.0000 0.5000 0.0000  0.18
Se 0.5000 0.5000 0.5000  0.00

- Among the records above, which one has the highest V?
  Rb2LaZnSe